Material: RbScCu2
Method: DFT, PBE
State: relaxed

As for the excess energy over the best structure of this formula in the dataset: 0 meV per atom. For the magnetization, the calculation gives 0.000 μB per cell.

The structure belongs to space group Fm-3m (No. 225); the cell edges are 7.175, 7.175 and 7.175 Å and the angles 90.00°, 90.00° and 90.00°. The asymmetric unit holds Rb at (0.000, 0.000, 0.000), Sc at (0.000, 0.000, 0.500) and Cu at (0.250, 0.250, 0.250).

***

Material: K3Ba
Method: DFT, PBE
State: relaxed

For the magnetization, the calculation gives 0.015 μB per cell.

The structure belongs to space group Pmmm (No. 47); the cell edges are 4.524, 6.653 and 9.349 Å and the angles 90.00°, 90.00° and 90.00°. The asymmetric unit holds K at (0.000, 0.000, 0.000), K at (0.500, 0.500, 0.250) and Ba at (0.000, 0.000, 0.500).

***

Material: LiPaHg2
Method: DFT, PBE
State: relaxed

As for the excess energy over the best structure of this formula in the dataset: 0 meV per atom. For the magnetization, the calculation gives 0.916 μB per cell.

The structure belongs to space group P4/mmm (No. 123); the cell edges are 3.246, 3.246 and 8.020 Å and the angles 90.00°, 90.00° and 90.00°. The asymmetric unit holds Li at (0.000, 0.000, 0.000), Pa at (0.000, 0.000, 0.500) and Hg at (0.500, 0.500, 0.209).

***

Material: Be2POs
Method: DFT, PBE
State: relaxed

For the magnetization, the calculation gives 0.000 μB per cell.

The structure belongs to space group Cmmm (No. 65); the cell edges are 2.926, 4.422 and 7.387 Å and the angles 90.00°, 90.00° and 90.00°. The asymmetric unit holds Be at (0.000, 0.000, 0.240), P at (0.000, 0.500, 0.500) and Os at (0.000, 0.500, 0.000).

***

One value per record, in order, for calculated formation energy: 0.653 0.090 -0.111 0.280 eV per atom.